VASP calculation (PBE+U) on a geometry-optimized BaZnNiO3 structure.

Cell: 5.6148 10.5245 5.6171 Å, 90.00 90.00 90.00°
Space group Cmcm (No. 63)
Asymmetric unit:
1 Ba 0.0000 0.2395 0.2500 [4 per cell]
2 Zn 0.0000 0.0654 0.7500 [4 per cell]
3 Ni 0.0000 0.4473 0.7500 [4 per cell]
4 O 0.0000 0.2543 0.7500 [4 per cell]
5 O 0.2498 0.0000 0.0000 [8 per cell]

Values from the calculation:
**Total energy**: -5.053 eV/atom
**Crystal system**: orthorhombic